# 1
This record from Alexandria via LeMat-Bulk describes an optimized crystal structure of LiSc2C. The functional is PBE.

The calculation puts the formation enthalpy at 0 K at -0.28 eV/atom.

It has space group P-3m1 (No. 164), with a = 3.3084 Å, b = 3.3084 Å, c = 8.1873 Å, α = 90.00°, β = 90.00° and γ = 120.00°. The asymmetric unit holds Li at (0.0000, 0.0000, 0.0000), Sc at (0.3333, 0.6667, 0.6498) and C at (0.0000, 0.0000, 0.5000).

***

# 2
This record from Alexandria via LeMat-Bulk describes an optimized crystal structure of LaY2N. The functional is PBE.

Its formation energy (no corrections) is -715 meV per atom.

It has space group R-3m (No. 166, hexagonal axes), with a = 3.4685 Å, b = 3.4685 Å, c = 29.2782 Å, α = 90.00°, β = 90.00° and γ = 120.00°. The asymmetric unit holds La at (0.0000, 0.0000, 0.0000), Y at (0.0000, 0.0000, 0.1209) and N at (0.0000, 0.0000, 0.5000).

***

# 3
This record from Alexandria via LeMat-Bulk describes an optimized crystal structure of Mg4CrP. The functional is PBE.

The calculation puts the formation enthalpy at 0 K at 0.48 eV/atom.

It has space group F-43m (No. 216), with a = 7.952 Å, b = 7.952 Å, c = 7.952 Å, α = 90.00°, β = 90.00° and γ = 90.00°. The asymmetric unit holds Mg at (0.125, 0.125, 0.125), Cr at (0.000, 0.000, 0.500) and P at (0.250, 0.250, 0.750).

***

# 4
This record from Alexandria via LeMat-Bulk describes an optimized crystal structure of CuBiSeO. The functional is PBE.

The energy above the most stable polymorph in this dataset is 1.36 eV per formula unit. Its formation energy (no corrections) is -324 meV per atom.

It has space group Pmm2 (No. 25), with a = 3.199 Å, b = 4.057 Å, c = 7.014 Å, α = 90.00°, β = 90.00° and γ = 90.00°. The asymmetric unit holds Cu at (0.000, 0.000, 0.000), Bi at (0.000, 0.500, 0.592), Se at (0.000, 0.500, 0.169) and O at (0.000, 0.000, 0.727).

***

no.,raw total energy (eV per formula unit),DOS at the Fermi energy (states/eV/f.u.)
1,-24.9,3.9
2,-29.0,4.8
3,-18.5,3.8
4,-17.7,1.4